TaPtSe2 | PBE-GGA | relaxed

For the uncorrected formation energy, the calculation gives 0.70 eV per formula unit. The calculation puts the density of states at the Fermi level at 3.20 states/eV per cell. As for the symmetry: F-43m. As for the volume: 17.9 Å³/atom. As for the relative energy among the computed polymorphs: 0.5727 eV per atom.

Unit cell a=4.6643 b=4.6643 c=4.6643 alpha=60.00 beta=60.00 gamma=60.00
With the nearest neighbours (Å) after each atom.
Sites, in units of the cell vectors:
1 Pt 0.5000 0.5000 0.5000  4 Se 2.86, 4 Ta 2.86
2 Se 0.0000 0.0000 0.0000  4 Se 2.86, 4 Ta 2.86
3 Se 0.7500 0.7500 0.7500  4 Se 2.86, 4 Pt 2.86
4 Ta 0.2500 0.2500 0.2500  4 Pt 2.86, 4 Se 2.86


TaPtSe2 | PBE-GGA | relaxed

For the uncorrected formation energy, the calculation gives -0.95 eV per formula unit. The calculation puts the density of states at the Fermi level at 2.47 states/eV per cell. As for the symmetry: Immm. As for the volume: 23.9 Å³/atom. As for the relative energy among the computed polymorphs: 0.1598 eV per atom.

Unit cell a=7.0989 b=7.0989 c=7.0989 alpha=153.98 beta=142.34 gamma=46.35
With the nearest neighbours (Å) after each atom.
Sites, in units of the cell vectors:
1 Pt 0.2500 0.7500 0.5000  4 Ta 2.79, 4 Se 3.04
2 Se 0.9030 0.9030 0.0000  2 Ta 2.56
3 Se 0.5970 0.5970 0.0000  2 Ta 2.56
4 Ta 0.7500 0.2500 0.5000  4 Se 2.56, 4 Pt 2.79


Ta2Pt3Se8 | PBE-GGA | relaxed

For the uncorrected formation energy, the calculation gives -8.39 eV per formula unit. As for the symmetry: Pbam. As for the volume: 24.0 Å³/atom.

Unit cell a=3.6142 b=11.1897 c=15.4219 alpha=90.00 beta=90.00 gamma=90.00
With the nearest neighbours (Å) after each atom.
Sites, in units of the cell vectors:
1 Ta 0.5000 0.6945 0.3738  6 Se 2.59-2.66
2 Ta 0.5000 0.3055 0.6262  6 Se 2.59-2.66
3 Ta 0.5000 0.1945 0.1262  6 Se 2.59-2.66
4 Ta 0.5000 0.8055 0.8738  6 Se 2.59-2.66
5 Pt 0.0000 0.8490 0.2755  5 Se 2.50-2.67
6 Pt 0.0000 0.1510 0.7245  5 Se 2.50-2.67
7 Pt 0.0000 0.3490 0.2245  5 Se 2.50-2.67
8 Pt 0.0000 0.6510 0.7755  5 Se 2.50-2.67
9 Pt 0.0000 0.5000 0.5000  4 Se 2.46-2.47
10 Pt 0.0000 0.0000 0.0000  4 Se 2.46-2.47
11 Se 0.5000 0.9263 0.3722  2 Pt 2.50, 1 Ta 2.59
12 Se 0.5000 0.0737 0.6278  2 Pt 2.50, 1 Ta 2.59
13 Se 0.5000 0.4263 0.1278  2 Pt 2.50, 1 Ta 2.59
14 Se 0.5000 0.5737 0.8722  2 Pt 2.50, 1 Ta 2.59
15 Se 0.5000 0.7267 0.2074  2 Pt 2.50, 1 Ta 2.59
16 Se 0.5000 0.2733 0.7926  2 Pt 2.50, 1 Ta 2.59
17 Se 0.5000 0.2267 0.2926  2 Pt 2.50, 1 Ta 2.59
18 Se 0.5000 0.7733 0.7074  2 Pt 2.50, 1 Ta 2.59
19 Se 0.0000 0.5258 0.3413  2 Pt 2.46-2.67, 2 Ta 2.66
20 Se 0.0000 0.4742 0.6587  2 Pt 2.46-2.67, 2 Ta 2.66
21 Se 0.0000 0.7794 0.9974  1 Pt 2.47, 2 Ta 2.64
22 Se 0.0000 0.2206 0.0026  1 Pt 2.47, 2 Ta 2.64
23 Se 0.0000 0.2794 0.5026  1 Pt 2.47, 2 Ta 2.64
24 Se 0.0000 0.7206 0.4974  1 Pt 2.47, 2 Ta 2.64
25 Se 0.0000 0.9742 0.8413  2 Pt 2.46-2.67, 2 Ta 2.66
26 Se 0.0000 0.0258 0.1587  2 Pt 2.46-2.67, 2 Ta 2.66


TaPtSe | PBE-GGA | relaxed

For the uncorrected formation energy, the calculation gives -1.34 eV per formula unit. The calculation puts the density of states at the Fermi level at 7.61 states/eV per cell. As for the symmetry: R3m. As for the volume: 20.9 Å³/atom. As for the relative energy among the computed polymorphs: 0.0464 eV per atom.

Unit cell a=3.4964 b=3.4964 c=17.7488 alpha=90.00 beta=90.00 gamma=120.00
With the nearest neighbours (Å) after each atom.
Sites, in units of the cell vectors:
1 Ta 0.0000 0.0000 0.5938  3 Pt 2.58, 3 Se 2.66
2 Ta 0.3333 0.6667 0.2604  3 Pt 2.58, 3 Se 2.66
3 Ta 0.6667 0.3333 0.9271  3 Pt 2.58, 3 Se 2.66
4 Pt 0.0000 0.0000 0.0173  3 Ta 2.58, 1 Se 2.59
5 Pt 0.3333 0.6667 0.6839  3 Ta 2.58, 1 Se 2.59
6 Pt 0.6667 0.3333 0.3506  3 Ta 2.58, 1 Se 2.59
7 Se 0.0000 0.0000 0.1630  1 Pt 2.59, 3 Ta 2.66
8 Se 0.3333 0.6667 0.8297  1 Pt 2.59, 3 Ta 2.66
9 Se 0.6667 0.3333 0.4963  1 Pt 2.59, 3 Ta 2.66


Ta2PtSe | PBE-GGA | relaxed

For the uncorrected formation energy, the calculation gives -0.54 eV per formula unit. The calculation puts the density of states at the Fermi level at 2.72 states/eV per cell. As for the symmetry: R-3m. As for the volume: 17.2 Å³/atom.

Unit cell a=8.7899 b=8.7899 c=8.7899 alpha=19.88 beta=19.88 gamma=19.88
With the nearest neighbours (Å) after each atom.
Sites, in units of the cell vectors:
1 Pt 0.2500 0.2500 0.2500  6 Ta 2.85, 6 Pt 3.03
2 Se 0.7500 0.7500 0.7500  6 Ta 2.70
3 Ta 0.0039 0.0039 0.0039  3 Se 2.70, 3 Pt 2.85
4 Ta 0.4961 0.4961 0.4961  3 Se 2.70, 3 Pt 2.85


Ta2PtSe | PBE-GGA | relaxed

For the uncorrected formation energy, the calculation gives -1.06 eV per formula unit. The calculation puts the density of states at the Fermi level at 3.19 states/eV per cell. As for the symmetry: Pm. As for the volume: 17.5 Å³/atom.

Unit cell a=4.6859 b=3.0760 c=4.9271 alpha=79.86 beta=90.00 gamma=90.00
With the nearest neighbours (Å) after each atom.
Sites, in units of the cell vectors:
1 Pt 0.0000 0.5464 0.3984  7 Ta 2.61-2.85
2 Se 0.5000 0.7208 0.8753  5 Ta 2.58-2.79
3 Ta 0.0000 0.1576 0.9136  3 Pt 2.61-2.85, 4 Se 2.72-2.90
4 Ta 0.5000 0.0751 0.3127  3 Se 2.58-2.79, 4 Pt 2.83-2.84


TaPtSe | PBE-GGA | relaxed

For the uncorrected formation energy, the calculation gives -1.13 eV per formula unit. The calculation puts the density of states at the Fermi level at 1.30 states/eV per cell. As for the symmetry: I4mm. As for the volume: 17.8 Å³/atom. As for the relative energy among the computed polymorphs: 0.1178 eV per atom.

Unit cell a=5.9155 b=5.9152 c=3.1148 alpha=74.74 beta=74.73 gamma=30.53
With the nearest neighbours (Å) after each atom.
Sites, in units of the cell vectors:
1 Pt 0.0152 0.0152 0.9848  4 Ta 2.80, 4 Pt 3.11, 4 Se 3.13
2 Se 0.3123 0.3123 0.6877  4 Ta 2.68-2.69
3 Ta 0.6725 0.6725 0.3275  4 Se 2.68-2.69, 4 Pt 2.80


TaPtSe2 | PBE-GGA | relaxed

For the uncorrected formation energy, the calculation gives 0.37 eV per formula unit. The calculation puts the density of states at the Fermi level at 3.22 states/eV per cell. As for the symmetry: Fmmm. As for the volume: 18.8 Å³/atom. As for the relative energy among the computed polymorphs: 0.4900 eV per atom.

Unit cell a=4.1823 b=5.1608 c=4.1818 alpha=68.51 beta=84.50 gamma=111.49
With the nearest neighbours (Å) after each atom.
Sites, in units of the cell vectors:
1 Pt 0.5000 0.5000 0.0000  4 Se 2.66, 2 Ta 2.81
2 Se 0.0000 0.0000 0.0000  2 Ta 2.66, 2 Pt 2.66, 2 Se 2.81
3 Se 0.5000 0.0000 0.5000  2 Pt 2.66, 2 Ta 2.66, 2 Se 2.81
4 Ta 0.0000 0.5000 0.5000  4 Se 2.66, 2 Pt 2.81


TaPtSe2 | PBE-GGA | relaxed

For the uncorrected formation energy, the calculation gives -0.45 eV per formula unit. The calculation puts the density of states at the Fermi level at 2.87 states/eV per cell. As for the symmetry: R-3m. As for the volume: 18.4 Å³/atom. As for the relative energy among the computed polymorphs: 0.2848 eV per atom.

Unit cell a=8.3101 b=8.3101 c=8.3101 alpha=22.47 beta=22.47 gamma=22.47
With the nearest neighbours (Å) after each atom.
Sites, in units of the cell vectors:
1 Pt 0.7500 0.7500 0.7500  6 Se 2.89, 6 Pt 3.24
2 Se 0.9924 0.9924 0.9924  3 Ta 2.62, 3 Pt 2.89
3 Se 0.5076 0.5076 0.5076  3 Ta 2.62, 3 Pt 2.89
4 Ta 0.2500 0.2500 0.2500  6 Se 2.62


Ta2PtSe | PBE-GGA | relaxed

For the uncorrected formation energy, the calculation gives -1.16 eV per formula unit. The calculation puts the density of states at the Fermi level at 1.06 states/eV per cell. As for the symmetry: R3m. As for the volume: 19.5 Å³/atom.

Unit cell a=8.7096 b=8.7096 c=8.7096 alpha=21.56 beta=21.56 gamma=21.56
With the nearest neighbours (Å) after each atom.
Sites, in units of the cell vectors:
1 Pt 0.5108 0.5108 0.5108  3 Ta 2.61
2 Se 0.7388 0.7388 0.7388  3 Ta 2.60
3 Ta 0.0020 0.0020 0.0020  3 Se 2.60
4 Ta 0.2484 0.2484 0.2484  3 Pt 2.61, 3 Ta 2.91


TaPtSe | PBE-GGA | relaxed

For the uncorrected formation energy, the calculation gives 0.53 eV per formula unit. The calculation puts the density of states at the Fermi level at 2.65 states/eV per cell. As for the symmetry: F-43m. As for the volume: 18.6 Å³/atom. As for the relative energy among the computed polymorphs: 0.6689 eV per atom.

Unit cell a=4.2891 b=4.2891 c=4.2891 alpha=60.00 beta=60.00 gamma=60.00
With the nearest neighbours (Å) after each atom.
Sites, in units of the cell vectors:
1 Pt 0.5000 0.5000 0.5000  4 Se 2.63
2 Se 0.7500 0.7500 0.7500  4 Pt 2.63, 4 Ta 2.63
3 Ta 0.0000 0.0000 0.0000  4 Se 2.63


TaPtSe2 | PBE-GGA | relaxed

For the uncorrected formation energy, the calculation gives -1.45 eV per formula unit. The calculation puts the density of states at the Fermi level at 2.82 states/eV per cell. As for the symmetry: C2/m. As for the volume: 24.3 Å³/atom. As for the relative energy among the computed polymorphs: 0.0337 eV per atom.

Unit cell a=6.7603 b=6.7603 c=4.6281 alpha=83.79 beta=83.79 gamma=27.49
With the nearest neighbours (Å) after each atom.
Sites, in units of the cell vectors:
1 Pt 0.7500 0.7500 0.7500  2 Se 2.50
2 Se 0.8978 0.8978 0.0458  1 Pt 2.50, 2 Ta 2.61
3 Se 0.6022 0.6022 0.4542  1 Pt 2.50, 2 Ta 2.61
4 Ta 0.2500 0.2500 0.2500  4 Se 2.61, 4 Pt 2.82